{"formula": "Zr2PdBrN", "functional": "PBE-GGA", "state": "relaxed", "lattice_angstrom": [[4.2834, 0.0000, 0.0000], [0.0000, 4.2834, 0.0000], [0.0000, 0.0000, 5.4470]], "species": ["Zr", "Zr", "Pd", "Br", "N"], "fractional_positions": [[0.0000, 0.5000, 0.0000], [0.5000, 0.0000, 0.0000], [0.0000, 0.0000, 0.5000], [0.5000, 0.5000, 0.5000], [0.5000, 0.5000, 0.0000]], "final_energy_ev_per_cell": -33.00, "raw_formation_energy_ev_per_atom": -0.14}

{"formula": "Pm5NiSn2", "functional": "PBE-GGA", "state": "relaxed", "lattice_angstrom": [[2.6960, 1.5565, 8.7951], [-2.6960, 1.5565, 8.7951], [0.0000, -3.1131, 8.7951]], "species": ["Pm", "Pm", "Pm", "Pm", "Pm", "Ni", "Sn", "Sn"], "fractional_positions": [[0.0000, 0.0000, 0.0000], [0.1311, 0.1311, 0.1311], [0.2727, 0.2727, 0.2727], [0.7273, 0.7273, 0.7273], [0.8689, 0.8689, 0.8689], [0.5000, 0.5000, 0.5000], [0.4002, 0.4002, 0.4002], [0.5998, 0.5998, 0.5998]], "ef_mev_per_atom": -368, "final_energy_ev_per_cell": -40.48}

{"formula": "Nb2ICl", "functional": "PBE-GGA", "state": "relaxed", "lattice_angstrom": [[4.5893, 0.0000, 0.0000], [0.0000, 4.5893, 0.0000], [0.0000, 0.0000, 17.0853]], "species": ["Nb", "Nb", "Nb", "Nb", "Nb", "Nb", "Nb", "Nb", "I", "I", "I", "I", "Cl", "Cl", "Cl", "Cl"], "fractional_positions": [[0.1830, 0.2500, 0.1250], [0.2500, 0.6830, 0.3750], [0.2500, 0.8170, 0.8750], [0.3170, 0.2500, 0.6250], [0.6830, 0.7500, 0.6250], [0.7500, 0.1830, 0.8750], [0.7500, 0.3170, 0.3750], [0.8170, 0.7500, 0.1250], [0.0000, 0.0000, 0.5000], [0.0000, 0.5000, 0.7500], [0.5000, 0.0000, 0.2500], [0.5000, 0.5000, 0.0000], [0.0000, 0.0000, 0.0000], [0.0000, 0.5000, 0.2500], [0.5000, 0.0000, 0.7500], [0.5000, 0.5000, 0.5000]], "final_energy_ev_per_cell": -88.53, "raw_formation_energy_ev_per_atom": 0.35}